[1]
Entry from Alexandria via LeMat-Bulk: an optimized crystal structure of Ac2B4Ru5 (PBE-GGA).

Lattice parameters (Å, degrees): 5.670 5.769 6.502 77.63 64.15 60.56
Element x y z (fractional)
1 B 0.800 0.654 0.746
2 Ac 0.856 0.000 0.287
3 Ac 0.144 0.000 0.713
4 Ru 0.750 0.500 0.500
5 B 0.200 0.346 0.254
6 B 0.454 0.346 0.746
7 Ru 0.500 0.500 0.000
8 B 0.546 0.654 0.254
9 Ru 0.250 0.500 0.500
10 Ru 0.500 0.000 0.000
11 Ru 0.000 0.500 0.000

Calculated values
- Crystal system: orthorhombic
- Energy of formation: -372.5 meV per atom

[2]
Entry from Alexandria via LeMat-Bulk: an optimized crystal structure of Ac2B4Ru3 (PBE-GGA).

Lattice parameters (Å, degrees): 5.638 5.638 6.428 103.14 103.14 118.79
Element x y z (fractional)
1 B 0.282 0.945 0.227
2 Ac 0.657 0.657 0.313
3 B 0.055 0.718 0.773
4 Ac 0.343 0.343 0.687
5 Ru 0.000 0.500 0.000
6 B 0.945 0.282 0.227
7 Ru 0.000 0.000 0.000
8 B 0.718 0.055 0.773
9 Ru 0.500 0.000 0.000

Calculated values
- Crystal system: orthorhombic
- Energy of formation: 58.1 meV per atom

[3]
Entry from Alexandria via LeMat-Bulk: an optimized crystal structure of AcB3Ru3 (PBE-GGA).

Lattice parameters (Å, degrees): 8.316 8.316 8.316 64.55 115.45 115.45
Element x y z (fractional)
1 Ru 0.527 0.068 0.442
2 Ru 0.211 0.173 0.174
3 Ru 0.058 0.473 0.568
4 B 0.046 0.513 0.301
5 Ac 0.474 0.441 0.462
6 B 0.245 0.997 0.435
7 Ru 0.827 0.674 0.289
8 Ru 0.216 0.784 0.284
9 B 0.003 0.935 0.255
10 Ac 0.559 0.962 0.026
11 B 0.487 0.801 0.454
12 B 0.758 0.631 0.032
13 Ac 0.968 0.032 0.532
14 B 0.792 0.261 0.546
15 Ru 0.606 0.394 0.894
16 B 0.739 0.046 0.709
17 B 0.954 0.209 0.761
18 B 0.065 0.755 0.497
19 Ac 0.038 0.526 0.941
20 Ru 0.645 0.748 0.734
21 Ru 0.766 0.355 0.248
22 Ru 0.252 0.234 0.855
23 Ru 0.470 0.530 0.030
24 Ru 0.932 0.942 0.973
25 B 0.369 0.532 0.742
26 B 0.468 0.242 0.131
27 B 0.199 0.954 0.013
28 Ru 0.326 0.789 0.673

Calculated values
- Crystal system: trigonal
- Energy of formation: -81.9 meV per atom

Question: The lowest energy of formation belongs to which entry?
Answer: Ac2B4Ru5

Question: Look up the energy of formation of the first one.
Answer: -372.5 meV per atom

Question: The highest energy of formation belongs to which entry?
Answer: Ac2B4Ru3

Question: energy of formation of number 2 (Ac2B4Ru3)?
Answer: 58.1 meV per atom